1.
This record from the Alexandria database describes an optimized crystal structure of ErScRe4. The functional is PBE.

Cell lengths 5.341, 5.341, 5.341 Å; angles 60.00, 60.00, 60.00 degrees
Sites, in units of the cell vectors:
Er (0.000, 0.000, 0.000)
Sc (0.750, 0.750, 0.750)
Re (0.375, 0.375, 0.375)
Re (0.375, 0.375, 0.874)
Re (0.375, 0.874, 0.375)
Re (0.874, 0.375, 0.375)

Summary:
Crystal system   cubic
Raw total energy   -0.3810 Ha/atom
Total magnetic moment   0.00 μB/f.u.

=====

2.
This record from the Alexandria database describes an optimized crystal structure of SrAcTe. The functional is PBE.

Cell lengths 5.678, 5.678, 4.678 Å; angles 90.00, 90.00, 120.00 degrees
Sites, in units of the cell vectors:
Sr (0.000, 0.000, 0.000)
Ac (0.333, 0.667, 0.500)
Te (0.667, 0.333, 0.497)

Summary:
Crystal system   trigonal
Raw total energy   -0.1314 Ha/atom
Total magnetic moment   0.00 μB/f.u.
Uncorrected formation energy   -57.7 kJ/mol of atoms

=====

3.
This record from the Alexandria database describes an optimized crystal structure of CaGeAu2. The functional is PBE.

Cell lengths 4.492, 4.492, 4.099 Å; angles 90.00, 90.00, 90.00 degrees
Sites, in units of the cell vectors:
Ca (0.000, 0.000, 0.000)
Ge (0.500, 0.500, 0.000)
Au (0.000, 0.500, 0.500)
Au (0.500, 0.000, 0.500)

Summary:
Crystal system   tetragonal
Raw total energy   -0.1359 Ha/atom
Total magnetic moment   0.00 μB/f.u.